{"formula": "LaCoP4", "functional": "PBE-GGA", "state": "optimized geometry", "sg": "F-43m, No. 216", "formation_energy_mev_per_atom": 123.7, "magmom_total_mub_per_atom": 0.238, "lattice_angstrom": [[0.996, -0.911, 5.106], [-1.737, 3.374, 3.672], [-3.920, -1.415, 3.243]], "species": ["Co", "La", "P", "P", "P", "P"], "frac_coords": [[0.750, 0.750, 0.750], [0.000, 0.000, 0.000], [0.386, 0.386, 0.841], [0.841, 0.386, 0.386], [0.386, 0.386, 0.386], [0.386, 0.841, 0.386]]}